1.
# NdU2Tl3Te6 PBE optimized geometry
data_NdU2Tl3Te6
_chemical_formula_sum 'Nd1 U2 Tl3 Te6'
_space_group_name_H-M_alt 'P 1'
_space_group_IT_number 1
_space_group_name_Hall 'P 1'
_cell_length_a 7.742
_cell_length_b 7.742
_cell_length_c 8.668
_cell_angle_alpha 98.56
_cell_angle_beta 98.56
_cell_angle_gamma 120.00
loop_
_atom_site_label
_atom_site_type_symbol
_atom_site_fract_x
_atom_site_fract_y
_atom_site_fract_z
Nd1 Nd 0.000 0.000 0.000
U1 U 0.333 0.667 0.000
U2 U 0.667 0.333 0.000
Tl1 Tl 0.164 0.836 0.500
Tl2 Tl 0.836 0.164 0.500
Tl3 Tl 0.500 0.500 0.500
Te1 Te 0.927 0.587 0.781
Te2 Te 0.732 0.732 0.216
Te3 Te 0.073 0.413 0.219
Te4 Te 0.587 0.927 0.781
Te5 Te 0.268 0.268 0.784
Te6 Te 0.413 0.073 0.219
# ρ, g cm⁻³: 7.7
# Uncorrected formation energy, eV/atom: -0.6975
# Uncorrected energy, eV for the cell shown: -61.66
# Magnetic moment, μB per cell: 6.00

2.
# YPO3 PBE optimized geometry
data_YPO3
_chemical_formula_sum 'Y1 P1 O3'
_space_group_name_H-M_alt 'P 1'
_space_group_IT_number 1
_space_group_name_Hall 'P 1'
_cell_length_a 3.876
_cell_length_b 3.876
_cell_length_c 3.876
_cell_angle_alpha 90.00
_cell_angle_beta 90.00
_cell_angle_gamma 90.00
loop_
_atom_site_label
_atom_site_type_symbol
_atom_site_fract_x
_atom_site_fract_y
_atom_site_fract_z
Y1 Y 0.000 0.000 0.000
P1 P 0.500 0.500 0.500
O1 O 0.000 0.500 0.500
O2 O 0.500 0.000 0.500
O3 O 0.500 0.500 0.000
# ρ, g cm⁻³: 4.8
# Uncorrected formation energy, eV/atom: -1.7662
# Uncorrected energy, eV for the cell shown: -35.58
# Magnetic moment, μB per cell: 0.00

3.
# PuMgPaTc PBE optimized geometry
data_PuMgPaTc
_chemical_formula_sum 'Pu1 Mg1 Pa1 Tc1'
_space_group_name_H-M_alt 'P 1'
_space_group_IT_number 1
_space_group_name_Hall 'P 1'
_cell_length_a 4.825
_cell_length_b 4.825
_cell_length_c 4.825
_cell_angle_alpha 60.00
_cell_angle_beta 60.00
_cell_angle_gamma 60.00
loop_
_atom_site_label
_atom_site_type_symbol
_atom_site_fract_x
_atom_site_fract_y
_atom_site_fract_z
Mg1 Mg 0.000 0.000 0.000
Pa1 Pa 0.500 0.500 0.500
Tc1 Tc 0.750 0.750 0.750
Pu1 Pu 0.250 0.250 0.250
# ρ, g cm⁻³: 12.5
# Uncorrected energy, eV for the cell shown: -35.67
# Magnetic moment, μB per cell: 4.75
# Energy relative to the elements, eV per atom: 0.03

4.
# Sm4AgRh PBE optimized geometry
data_Sm4AgRh
_chemical_formula_sum 'Sm16 Ag4 Rh4'
_space_group_name_H-M_alt 'P 1'
_space_group_IT_number 1
_space_group_name_Hall 'P 1'
_cell_length_a 9.730
_cell_length_b 9.730
_cell_length_c 9.730
_cell_angle_alpha 60.00
_cell_angle_beta 60.00
_cell_angle_gamma 60.00
loop_
_atom_site_label
_atom_site_type_symbol
_atom_site_fract_x
_atom_site_fract_y
_atom_site_fract_z
Sm1 Sm 0.398 0.398 0.398
Sm2 Sm 0.806 0.398 0.398
Sm3 Sm 0.398 0.806 0.398
Sm4 Sm 0.398 0.398 0.806
Sm5 Sm 0.561 0.561 0.939
Sm6 Sm 0.939 0.939 0.561
Sm7 Sm 0.561 0.939 0.561
Sm8 Sm 0.939 0.561 0.939
Sm9 Sm 0.939 0.561 0.561
Sm10 Sm 0.561 0.939 0.939
Sm11 Sm 0.186 0.186 0.814
Sm12 Sm 0.814 0.814 0.186
Sm13 Sm 0.186 0.814 0.186
Sm14 Sm 0.814 0.186 0.814
Sm15 Sm 0.814 0.186 0.186
Sm16 Sm 0.186 0.814 0.814
Ag1 Ag 0.168 0.168 0.168
Ag2 Ag 0.495 0.168 0.168
Ag3 Ag 0.168 0.495 0.168
Ag4 Ag 0.168 0.168 0.495
Rh1 Rh 0.607 0.607 0.607
Rh2 Rh 0.178 0.607 0.607
Rh3 Rh 0.607 0.178 0.607
Rh4 Rh 0.607 0.607 0.178
# ρ, g cm⁻³: 8.3
# Uncorrected energy, eV for the cell shown: -126.20
# Magnetic moment, μB per cell: 0.00
# Polymorph energy (0 for the lowest one), meV per atom: 0.0
# Energy relative to the elements, eV per atom: -0.41

5.
# Cs2CrIr2 PBE optimized geometry
data_Cs2CrIr2
_chemical_formula_sum 'Cs2 Cr1 Ir2'
_space_group_name_H-M_alt 'P 1'
_space_group_IT_number 1
_space_group_name_Hall 'P 1'
_cell_length_a 3.602
_cell_length_b 3.602
_cell_length_c 12.630
_cell_angle_alpha 81.80
_cell_angle_beta 81.80
_cell_angle_gamma 90.00
loop_
_atom_site_label
_atom_site_type_symbol
_atom_site_fract_x
_atom_site_fract_y
_atom_site_fract_z
Cs1 Cs 0.374 0.374 0.251
Cs2 Cs 0.626 0.626 0.749
Cr1 Cr 0.000 0.000 0.000
Ir1 Ir 0.750 0.250 0.500
Ir2 Ir 0.250 0.750 0.500
# ρ, g cm⁻³: 7.3
# Uncorrected energy, eV for the cell shown: -24.15
# Magnetic moment, μB per cell: 5.07
# Energy relative to the elements, eV per atom: 0.98

6.
# Pm4Ho9Tm11 PBE optimized geometry
data_Pm4Ho9Tm11
_chemical_formula_sum 'Pm4 Ho9 Tm11'
_space_group_name_H-M_alt 'P 1'
_space_group_IT_number 1
_space_group_name_Hall 'P 1'
_cell_length_a 3.505
_cell_length_b 14.604
_cell_length_c 14.604
_cell_angle_alpha 92.07
_cell_angle_beta 90.00
_cell_angle_gamma 90.00
loop_
_atom_site_label
_atom_site_type_symbol
_atom_site_fract_x
_atom_site_fract_y
_atom_site_fract_z
Pm1 Pm 0.500 0.549 0.722
Pm2 Pm 0.500 0.451 0.278
Pm3 Pm 0.500 0.722 0.549
Pm4 Pm 0.500 0.278 0.451
Ho1 Ho 0.500 0.624 0.129
Ho2 Ho 0.500 0.376 0.871
Ho3 Ho 0.500 0.129 0.624
Ho4 Ho 0.500 0.871 0.376
Ho5 Ho 0.500 0.794 0.964
Ho6 Ho 0.500 0.206 0.036
Ho7 Ho 0.500 0.964 0.794
Ho8 Ho 0.500 0.036 0.206
Ho9 Ho 0.500 0.500 0.500
Tm1 Tm 0.000 0.585 0.923
Tm2 Tm 0.000 0.415 0.077
Tm3 Tm 0.000 0.923 0.585
Tm4 Tm 0.000 0.077 0.415
Tm5 Tm 0.000 0.659 0.341
Tm6 Tm 0.000 0.341 0.659
Tm7 Tm 0.000 0.831 0.169
Tm8 Tm 0.000 0.169 0.831
Tm9 Tm 0.000 0.000 0.000
Tm10 Tm 0.000 0.759 0.759
Tm11 Tm 0.000 0.241 0.241
# ρ, g cm⁻³: 8.7
# Uncorrected energy, eV for the cell shown: -108.01
# Magnetic moment, μB per cell: 0.00
# Energy relative to the elements, eV per atom: 0.06

7.
# Li2ZnP PBE optimized geometry
data_Li2ZnP
_chemical_formula_sum 'Li2 Zn1 P1'
_space_group_name_H-M_alt 'P 1'
_space_group_IT_number 1
_space_group_name_Hall 'P 1'
_cell_length_a 4.338
_cell_length_b 4.338
_cell_length_c 5.276
_cell_angle_alpha 82.50
_cell_angle_beta 82.50
_cell_angle_gamma 37.49
loop_
_atom_site_label
_atom_site_type_symbol
_atom_site_fract_x
_atom_site_fract_y
_atom_site_fract_z
Li1 Li 0.011 0.011 0.965
Li2 Li 0.489 0.489 0.535
P1 P 0.750 0.750 0.750
Zn1 Zn 0.250 0.250 0.250
# ρ, g cm⁻³: 3.1
# Uncorrected energy, eV for the cell shown: -11.34
# Magnetic moment, μB per cell: 0.00
# Polymorph energy (0 for the lowest one), meV per atom: 186.0
# Energy relative to the elements, eV per atom: -0.21

8.
# SmPaGe2O8 PBE optimized geometry
data_SmPaGe2O8
_chemical_formula_sum 'Sm1 Pa1 Ge2 O8'
_space_group_name_H-M_alt 'P 1'
_space_group_IT_number 1
_space_group_name_Hall 'P 1'
_cell_length_a 6.011
_cell_length_b 6.011
_cell_length_c 6.011
_cell_angle_alpha 106.94
_cell_angle_beta 106.94
_cell_angle_gamma 114.67
loop_
_atom_site_label
_atom_site_type_symbol
_atom_site_fract_x
_atom_site_fract_y
_atom_site_fract_z
Sm1 Sm 0.000 0.000 0.000
Pa1 Pa 0.250 0.750 0.500
Ge1 Ge 0.750 0.250 0.500
Ge2 Ge 0.500 0.500 0.000
O1 O 0.383 0.061 0.322
O2 O 0.323 0.513 0.190
O3 O 0.323 0.133 0.810
O4 O 0.738 0.061 0.678
O5 O 0.867 0.677 0.190
O6 O 0.939 0.262 0.322
O7 O 0.939 0.617 0.678
O8 O 0.487 0.677 0.810
# ρ, g cm⁻³: 6.5
# Uncorrected formation energy, eV/atom: -2.6494
# Uncorrected energy, eV for the cell shown: -94.91
# Magnetic moment, μB per cell: 0.00

- ρ of number 8 (SmPaGe2O8)?
  6.5 g cm⁻³